{"formula": "CuAg", "functional": "GGA-PBE", "state": "optimized geometry", "cell": [[6.7442, 0.0000, 0.0000], [0.0000, 2.7860, 0.0000], [-1.9800, 0.0000, 7.8966]], "species": ["Cu", "Cu", "Cu", "Cu", "Cu", "Ag", "Ag", "Ag", "Ag", "Ag"], "frac_coords": [[0.0000, 0.0000, 0.0000], [0.0883, 0.5000, 0.2679], [0.2743, 0.5000, 0.9048], [0.3685, 0.0000, 0.1822], [0.4657, 0.5000, 0.4576], [0.1802, 0.0000, 0.5670], [0.5591, 0.0000, 0.7712], [0.6802, 0.5000, 0.0791], [0.7744, 0.0000, 0.3861], [0.8916, 0.5000, 0.7057]]}

=====

{"formula": "CuAg", "functional": "GGA-PBE", "state": "optimized geometry", "cell": [[2.8051, 0.0000, 0.0000], [-1.4025, 2.4293, 0.0000], [0.0000, 0.0000, 26.4633]], "species": ["Cu", "Cu", "Cu", "Cu", "Cu", "Cu", "Ag", "Ag", "Ag", "Ag", "Ag", "Ag"], "frac_coords": [[0.0000, 0.0000, 0.1104], [0.0000, 0.0000, 0.8896], [0.3333, 0.6667, 0.1835], [0.3333, 0.6667, 0.9632], [0.6667, 0.3333, 0.0368], [0.6667, 0.3333, 0.8165], [0.0000, 0.0000, 0.3606], [0.0000, 0.0000, 0.6394], [0.3333, 0.6667, 0.4535], [0.3333, 0.6667, 0.7329], [0.6667, 0.3333, 0.2671], [0.6667, 0.3333, 0.5465]]}

=====

{"formula": "Cu3Ag5", "functional": "GGA-PBE", "state": "optimized geometry", "de_polymorph_mev_per_atom": 0.0, "cell": [[2.8725, 0.0000, 0.0000], [0.0000, 2.8725, 0.0000], [0.0000, 0.0000, 15.1238]], "species": ["Cu", "Cu", "Cu", "Ag", "Ag", "Ag", "Ag", "Ag"], "frac_coords": [[0.0000, 0.0000, 0.0000], [0.5000, 0.5000, 0.0971], [0.5000, 0.5000, 0.9029], [0.0000, 0.0000, 0.2181], [0.0000, 0.0000, 0.5000], [0.0000, 0.0000, 0.7819], [0.5000, 0.5000, 0.3594], [0.5000, 0.5000, 0.6406]]}

=====

{"formula": "CuAg2", "functional": "GGA-PBE", "state": "optimized geometry", "de_polymorph_mev_per_atom": 38.9, "cell": [[4.7884, -1.4414, 0.0000], [4.7884, 1.4414, 0.0000], [-4.4486, 0.0000, 10.3932]], "species": ["Cu", "Cu", "Cu", "Ag", "Ag", "Ag", "Ag", "Ag", "Ag"], "frac_coords": [[0.0000, 0.0000, 0.0000], [0.3115, 0.3115, 0.4420], [0.6885, 0.6885, 0.5580], [0.0040, 0.0040, 0.6427], [0.3380, 0.3380, 0.7769], [0.3409, 0.3409, 0.1123], [0.6590, 0.6590, 0.8877], [0.6620, 0.6620, 0.2231], [0.9960, 0.9960, 0.3573]]}

=====

{"formula": "Cu3Ag7", "functional": "GGA-PBE", "state": "optimized geometry", "de_polymorph_mev_per_atom": 32.3, "cell": [[2.8886, 0.0000, 0.0000], [0.0000, 2.8886, 0.0000], [0.0000, 0.0000, 19.3245]], "species": ["Cu", "Cu", "Cu", "Ag", "Ag", "Ag", "Ag", "Ag", "Ag", "Ag"], "frac_coords": [[0.0000, 0.0000, 0.0000], [0.5000, 0.5000, 0.2976], [0.5000, 0.5000, 0.7024], [0.0000, 0.0000, 0.2045], [0.0000, 0.0000, 0.3905], [0.0000, 0.0000, 0.6095], [0.0000, 0.0000, 0.7955], [0.5000, 0.5000, 0.0937], [0.5000, 0.5000, 0.5000], [0.5000, 0.5000, 0.9063]]}

=====

{"formula": "CuAg", "functional": "GGA-PBE", "state": "optimized geometry", "cell": [[2.7900, 0.0000, 0.0000], [0.0000, 2.7900, 0.0000], [0.0000, 0.0000, 15.1809]], "species": ["Cu", "Cu", "Cu", "Cu", "Ag", "Ag", "Ag", "Ag"], "frac_coords": [[0.2500, 0.2500, 0.0516], [0.2500, 0.2500, 0.3033], [0.7500, 0.7500, 0.6967], [0.7500, 0.7500, 0.9484], [0.2500, 0.2500, 0.5727], [0.2500, 0.2500, 0.8222], [0.7500, 0.7500, 0.1778], [0.7500, 0.7500, 0.4273]]}

=====

{"formula": "CuAg", "functional": "GGA-PBE", "state": "optimized geometry", "cell": [[4.8339, -2.7651, 0.0000], [4.8339, 2.7651, 0.0000], [-1.7268, 0.0000, 4.4788]], "species": ["Cu", "Cu", "Cu", "Cu", "Ag", "Ag", "Ag", "Ag"], "frac_coords": [[0.0020, 0.2338, 0.4907], [0.2338, 0.0020, 0.9907], [0.7662, 0.9980, 0.0093], [0.9980, 0.7662, 0.5093], [0.2404, 0.5018, 0.9809], [0.4982, 0.7596, 0.5191], [0.5018, 0.2404, 0.4809], [0.7596, 0.4982, 0.0191]]}

=====

{"formula": "Cu3Ag5", "functional": "GGA-PBE", "state": "optimized geometry", "de_polymorph_mev_per_atom": 55.5, "cell": [[4.6938, -1.4261, 0.0000], [4.6938, 1.4261, 0.0000], [-2.0223, 0.0000, 9.4081]], "species": ["Cu", "Cu", "Cu", "Ag", "Ag", "Ag", "Ag", "Ag"], "frac_coords": [[0.0000, 0.0000, 0.0000], [0.2510, 0.2510, 0.3864], [0.7490, 0.7490, 0.6136], [0.0000, 0.0000, 0.5000], [0.2531, 0.2531, 0.8712], [0.4955, 0.4955, 0.7519], [0.5045, 0.5045, 0.2481], [0.7469, 0.7469, 0.1288]]}

=====

{"formula": "Cu4Ag5", "functional": "GGA-PBE", "state": "optimized geometry", "de_polymorph_mev_per_atom": 46.5, "cell": [[5.9593, -1.9973, 0.0000], [5.9593, 1.9973, 0.0000], [-1.9743, 0.0000, 5.7783]], "species": ["Cu", "Cu", "Cu", "Cu", "Ag", "Ag", "Ag", "Ag", "Ag"], "frac_coords": [[0.0000, 0.0000, 0.0000], [0.2120, 0.2120, 0.3005], [0.5500, 0.5500, 0.3009], [0.8879, 0.8879, 0.2995], [0.1035, 0.1035, 0.6286], [0.3361, 0.3361, 0.9900], [0.4371, 0.4371, 0.6250], [0.6608, 0.6608, 0.9908], [0.7722, 0.7722, 0.6240]]}

=====

{"formula": "Cu3Ag2", "functional": "GGA-PBE", "state": "optimized geometry", "de_polymorph_mev_per_atom": 27.0, "cell": [[2.7503, 0.0000, 0.0000], [0.0000, 3.6641, 0.0000], [0.0000, 0.0000, 14.1159]], "species": ["Cu", "Cu", "Cu", "Cu", "Cu", "Cu", "Ag", "Ag", "Ag", "Ag"], "frac_coords": [[0.2500, 0.2500, 0.0440], [0.2500, 0.2500, 0.2189], [0.2500, 0.2500, 0.8678], [0.7500, 0.7500, 0.1322], [0.7500, 0.7500, 0.7811], [0.7500, 0.7500, 0.9560], [0.2500, 0.2500, 0.4405], [0.2500, 0.2500, 0.6783], [0.7500, 0.7500, 0.3217], [0.7500, 0.7500, 0.5595]]}

=====

{"formula": "Cu3Ag7", "functional": "GGA-PBE", "state": "optimized geometry", "de_polymorph_mev_per_atom": 37.1, "cell": [[7.4472, -1.4363, 0.0000], [7.4472, 1.4363, 0.0000], [-2.0370, 0.0000, 7.5338]], "species": ["Cu", "Cu", "Cu", "Ag", "Ag", "Ag", "Ag", "Ag", "Ag", "Ag"], "frac_coords": [[0.0000, 0.0000, 0.0000], [0.1841, 0.1841, 0.0935], [0.5911, 0.5911, 0.8288], [0.1884, 0.1884, 0.6127], [0.3943, 0.3943, 0.7247], [0.3988, 0.3988, 0.1998], [0.5933, 0.5933, 0.2898], [0.7843, 0.7843, 0.9177], [0.7904, 0.7904, 0.3950], [0.9954, 0.9954, 0.5212]]}

=====

{"formula": "CuAg", "functional": "GGA-PBE", "state": "optimized geometry", "cell": [[9.0251, -1.4219, 0.0000], [9.0251, 1.4219, 0.0000], [-0.9454, 0.0000, 5.8064]], "species": ["Cu", "Cu", "Cu", "Cu", "Cu", "Ag", "Ag", "Ag", "Ag", "Ag"], "frac_coords": [[0.0000, 0.0000, 0.0000], [0.0028, 0.0028, 0.5601], [0.2087, 0.2087, 0.6137], [0.4102, 0.4102, 0.7229], [0.8131, 0.8131, 0.4580], [0.2141, 0.2141, 0.1603], [0.4123, 0.4123, 0.2450], [0.5941, 0.5941, 0.3278], [0.6096, 0.6096, 0.8293], [0.8094, 0.8094, 0.9105]]}

=====

{"formula": "Cu3Ag2", "functional": "GGA-PBE", "state": "optimized geometry", "de_polymorph_mev_per_atom": 16.6, "cell": [[-1.4034, 1.4034, 9.0383], [1.4034, -1.4034, 9.0383], [1.4034, 1.4034, -9.0383]], "species": ["Cu", "Cu", "Cu", "Ag", "Ag"], "frac_coords": [[0.0000, 0.0000, 0.0000], [0.4156, 0.4156, 0.0000], [0.5844, 0.5844, 0.0000], [0.1890, 0.1890, 0.0000], [0.8110, 0.8110, 0.0000]]}

=====

{"formula": "Cu3Ag2", "functional": "GGA-PBE", "state": "optimized geometry", "de_polymorph_mev_per_atom": 55.5, "cell": [[1.9380, -9.4576, 0.0000], [1.9380, 9.4576, 0.0000], [0.0000, 0.0000, 3.9113]], "species": ["Cu", "Cu", "Cu", "Cu", "Cu", "Cu", "Ag", "Ag", "Ag", "Ag"], "frac_coords": [[0.0538, 0.9462, 0.7500], [0.1472, 0.8528, 0.2500], [0.3532, 0.6468, 0.2500], [0.6468, 0.3532, 0.7500], [0.8528, 0.1472, 0.7500], [0.9462, 0.0538, 0.2500], [0.2502, 0.7498, 0.7500], [0.4481, 0.5519, 0.7500], [0.5519, 0.4481, 0.2500], [0.7498, 0.2502, 0.2500]]}

=====

{"formula": "CuAg2", "functional": "GGA-PBE", "state": "optimized geometry", "de_polymorph_mev_per_atom": 49.9, "cell": [[7.2661, -1.4317, 0.0000], [7.2661, 1.4317, 0.0000], [-0.3375, 0.0000, 6.8905]], "species": ["Cu", "Cu", "Cu", "Ag", "Ag", "Ag", "Ag", "Ag", "Ag"], "frac_coords": [[0.0000, 0.0000, 0.0000], [0.2165, 0.2165, 0.2976], [0.5607, 0.5607, 0.2928], [0.1094, 0.1094, 0.6152], [0.3318, 0.3318, 0.9864], [0.4483, 0.4483, 0.6719], [0.6582, 0.6582, 0.9735], [0.7764, 0.7764, 0.6267], [0.8976, 0.8976, 0.3190]]}

=====

{"formula": "CuAg", "functional": "GGA-PBE", "state": "optimized geometry", "cell": [[4.4345, -1.9355, 0.0000], [4.4345, 1.9355, 0.0000], [-0.2442, 0.0000, 8.7079]], "species": ["Cu", "Cu", "Cu", "Cu", "Cu", "Ag", "Ag", "Ag", "Ag", "Ag"], "frac_coords": [[0.0000, 0.0000, 0.0000], [0.1148, 0.1148, 0.7384], [0.4220, 0.4220, 0.8249], [0.5165, 0.5165, 0.5477], [0.6961, 0.6961, 0.9141], [0.2045, 0.2045, 0.4388], [0.3011, 0.3011, 0.0987], [0.6011, 0.6011, 0.2106], [0.8199, 0.8199, 0.6443], [0.9066, 0.9066, 0.3278]]}

=====

{"formula": "CuAg2", "functional": "GGA-PBE", "state": "optimized geometry", "de_polymorph_mev_per_atom": 55.0, "cell": [[5.9916, -1.4228, 0.0000], [5.9916, 1.4228, 0.0000], [-2.0925, 0.0000, 8.4525]], "species": ["Cu", "Cu", "Cu", "Ag", "Ag", "Ag", "Ag", "Ag", "Ag"], "frac_coords": [[0.0000, 0.0000, 0.0000], [0.3255, 0.3255, 0.4490], [0.6745, 0.6745, 0.5510], [0.9997, 0.9997, 0.3433], [0.0003, 0.0003, 0.6567], [0.3319, 0.3319, 0.7737], [0.3407, 0.3407, 0.1086], [0.6593, 0.6593, 0.8914], [0.6681, 0.6681, 0.2263]]}

=====

{"formula": "CuAg2", "functional": "GGA-PBE", "state": "optimized geometry", "de_polymorph_mev_per_atom": 12.7, "cell": [[2.8627, 0.0000, 0.0000], [0.0000, 2.8627, 0.0000], [0.0000, 0.0000, 11.6047]], "species": ["Cu", "Cu", "Ag", "Ag", "Ag", "Ag"], "frac_coords": [[0.2500, 0.2500, 0.0640], [0.7500, 0.7500, 0.9360], [0.2500, 0.2500, 0.4078], [0.2500, 0.2500, 0.7773], [0.7500, 0.7500, 0.2227], [0.7500, 0.7500, 0.5922]]}

=====

{"formula": "CuAg", "functional": "GGA-PBE", "state": "optimized geometry", "cell": [[2.8506, 0.0000, 0.0000], [0.0000, 2.8506, 0.0000], [0.0000, 0.0000, 18.2816]], "species": ["Cu", "Cu", "Cu", "Cu", "Cu", "Ag", "Ag", "Ag", "Ag", "Ag"], "frac_coords": [[0.0000, 0.0000, 0.0000], [0.0000, 0.0000, 0.1628], [0.0000, 0.0000, 0.5985], [0.5000, 0.5000, 0.0811], [0.5000, 0.5000, 0.9183], [0.0000, 0.0000, 0.3819], [0.0000, 0.0000, 0.8169], [0.5000, 0.5000, 0.2639], [0.5000, 0.5000, 0.4993], [0.5000, 0.5000, 0.6980]]}

=====

{"formula": "Cu3Ag7", "functional": "GGA-PBE", "state": "optimized geometry", "de_polymorph_mev_per_atom": 54.4, "cell": [[4.6955, -1.4402, 0.0000], [4.6955, 1.4402, 0.0000], [-2.2598, 0.0000, 12.0458]], "species": ["Cu", "Cu", "Cu", "Ag", "Ag", "Ag", "Ag", "Ag", "Ag", "Ag"], "frac_coords": [[0.0000, 0.0000, 0.0000], [0.2025, 0.2025, 0.4094], [0.7975, 0.7975, 0.5906], [0.1053, 0.1053, 0.6944], [0.3058, 0.3058, 0.0971], [0.3992, 0.3992, 0.7978], [0.5000, 0.5000, 0.5000], [0.6008, 0.6008, 0.2022], [0.6942, 0.6942, 0.9029], [0.8947, 0.8947, 0.3056]]}

=====

Number 1: calculated formation energy 0.09 eV per atom, ρ 9.59 Mg/m³. Number 2: calculated formation energy 0.08 eV per atom, ρ 9.47 Mg/m³. Number 3: calculated formation energy 0.04 eV per atom, ρ 9.71 Mg/m³. Number 4: calculated formation energy 0.07 eV per atom, ρ 9.70 Mg/m³. Number 5: calculated formation energy 0.06 eV per atom, ρ 9.74 Mg/m³. Number 6: calculated formation energy 0.08 eV per atom, ρ 9.64 Mg/m³. Number 7: calculated formation energy 0.10 eV per atom, ρ 9.51 Mg/m³. Number 8: calculated formation energy 0.09 eV per atom, ρ 9.62 Mg/m³. Number 9: calculated formation energy 0.08 eV per atom, ρ 9.58 Mg/m³. Number 10: calculated formation energy 0.07 eV per atom, ρ 9.49 Mg/m³. Number 11: calculated formation energy 0.07 eV per atom, ρ 9.74 Mg/m³. Number 12: calculated formation energy 0.09 eV per atom, ρ 9.55 Mg/m³. Number 13: calculated formation energy 0.06 eV per atom, ρ 9.48 Mg/m³. Number 14: calculated formation energy 0.10 eV per atom, ρ 9.41 Mg/m³. Number 15: calculated formation energy 0.08 eV per atom, ρ 9.70 Mg/m³. Number 16: calculated formation energy 0.08 eV per atom, ρ 9.52 Mg/m³. Number 17: calculated formation energy 0.09 eV per atom, ρ 9.65 Mg/m³. Number 18: calculated formation energy 0.04 eV per atom, ρ 9.75 Mg/m³. Number 19: calculated formation energy 0.05 eV per atom, ρ 9.58 Mg/m³. Number 20: calculated formation energy 0.08 eV per atom, ρ 9.64 Mg/m³.